## Sm2Tm4Sb3N2 (PBE)

Data for Sm2Tm4Sb3N2 after structural relaxation.

Output
- Symmetry: No. 139
- Density: 8.6 g/cm³
- Magnetic moment: 0.0 μB per cell
- Formation energy (no corrections): -1.21 eV per atom

Unit cell a=13.0100 b=13.0100 c=13.0100 alpha=159.68 beta=159.68 gamma=28.89
With the nearest neighbours (Å) after each atom.
Sites, in units of the cell vectors:
Sm (0.1936, 0.1936, 0.0000)  1 N 2.44
Sm (0.8064, 0.8064, 0.0000)  1 N 2.44
Tm (0.0830, 0.5830, 0.5000)  2 N 2.32
Tm (0.4170, 0.9170, 0.5000)  2 N 2.32
Tm (0.5830, 0.0830, 0.5000)  2 N 2.32
Tm (0.9170, 0.4170, 0.5000)  2 N 2.32
Sb (0.3235, 0.3235, 0.0000)  5 Sm 3.27, 4 Tm 3.29
Sb (0.5000, 0.5000, 0.0000)  8 Tm 3.10
Sb (0.6765, 0.6765, 0.0000)  5 Sm 3.27, 4 Tm 3.29
N (0.0969, 0.0969, 0.0000)  4 Tm 2.32, 1 Sm 2.44
N (0.9031, 0.9031, 0.0000)  4 Tm 2.32, 1 Sm 2.44

## SrAgCl2 (PBE)

Data for SrAgCl2 after structural relaxation.

Output
- Symmetry: No. 160
- Offset from the most stable computed form: 0.158 eV per atom
- Density: 3.4 g/cm³
- Magnetic moment: 0.6 μB per cell
- Formation energy (no corrections): -1.17 eV per atom

Unit cell a=7.6860 b=7.6860 c=7.6860 alpha=34.70 beta=34.70 gamma=34.70
With the nearest neighbours (Å) after each atom.
Sites, in units of the cell vectors:
Sr (0.0000, 0.0000, 0.0000)  3 Cl 2.95
Ag (0.7611, 0.7611, 0.7611)  3 Cl 2.68
Cl (0.2729, 0.2729, 0.2729)  3 Sr 2.95
Cl (0.4460, 0.4460, 0.4460)  3 Ag 2.68

## Pr2BeAl4Pt3 (PBE)

Data for Pr2BeAl4Pt3 after structural relaxation.

Output
- Symmetry: No. 115
- Density: 8.6 g/cm³
- Magnetic moment: 0.0 μB per cell
- Formation energy: -0.90 eV/atom

Unit cell a=4.2666 b=4.2666 c=10.4888 alpha=90.00 beta=90.00 gamma=90.00
With the nearest neighbours (Å) after each atom.
Sites, in units of the cell vectors:
Pr (0.0000, 0.5000, 0.2442)  8 Al 3.27-3.43, 6 Pt 3.28-3.33, 2 Be 3.33
Pr (0.5000, 0.0000, 0.7558)  8 Al 3.27-3.43, 6 Pt 3.28-3.33, 2 Be 3.33
Be (0.5000, 0.5000, 0.0000)  4 Al 2.50
Al (0.0000, 0.0000, 0.5000)  4 Pt 2.55
Al (0.0000, 0.5000, 0.8753)  2 Be 2.50, 3 Pt 2.50-2.54
Al (0.5000, 0.0000, 0.1247)  2 Be 2.50, 3 Pt 2.50-2.54
Al (0.5000, 0.5000, 0.5000)  4 Pt 2.55
Pt (0.0000, 0.0000, 0.0000)  4 Al 2.50
Pt (0.0000, 0.5000, 0.6332)  5 Al 2.54-2.55
Pt (0.5000, 0.0000, 0.3668)  5 Al 2.54-2.55

## Ac2La4C (PBE)

Data for Ac2La4C after structural relaxation.

Output
- Symmetry: No. 139
- Density: 6.6 g/cm³
- Magnetic moment: 0.0 μB per cell
- Formation energy: 0.09 eV/atom

Unit cell a=10.1555 b=10.1555 c=10.1555 alpha=150.15 beta=150.15 gamma=42.72
With the nearest neighbours (Å) after each atom.
Sites, in units of the cell vectors:
Ac (0.1800, 0.1800, 0.0000)  5 La 3.59-3.82
Ac (0.8200, 0.8200, 0.0000)  5 La 3.59-3.82
La (0.0000, 0.5000, 0.5000)  2 C 2.62
La (0.3696, 0.3696, 0.0000)  1 C 2.47
La (0.5000, 0.0000, 0.5000)  2 C 2.62
La (0.6304, 0.6304, 0.0000)  1 C 2.47
C (0.5000, 0.5000, 0.0000)  6 La 2.47-2.62

## NiRhSe (PBE)

Data for NiRhSe after structural relaxation.

Output
- Symmetry: No. 216
- Offset from the most stable computed form: 0.000 eV per atom
- Density: 8.6 g/cm³
- Magnetic moment: 0.6 μB per cell
- Formation energy (no corrections): 0.03 eV per atom

Unit cell a=4.0418 b=4.0418 c=4.0418 alpha=60.00 beta=60.00 gamma=60.00
With the nearest neighbours (Å) after each atom.
Sites, in units of the cell vectors:
Ni (0.0000, 0.0000, 0.0000)  4 Se 2.48
Rh (0.5000, 0.5000, 0.5000)  4 Se 2.48
Se (0.2500, 0.2500, 0.2500)  4 Ni 2.48, 4 Rh 2.48

## MgZnHgH2 (PBE)

Data for MgZnHgH2 after structural relaxation.

Output
- Symmetry: No. 123
- Offset from the most stable computed form: 0.000 eV per atom
- Density: 5.4 g/cm³
- Magnetic moment: 0.0 μB per cell

Unit cell a=3.8279 b=3.8279 c=6.1292 alpha=90.00 beta=90.00 gamma=90.00
With the nearest neighbours (Å) after each atom.
Sites, in units of the cell vectors:
Mg (0.0000, 0.0000, 0.0000)  4 H 1.91
Zn (0.5000, 0.5000, 0.5000)  4 Hg 2.71
Hg (0.0000, 0.0000, 0.5000)  4 Zn 2.71
H (0.0000, 0.5000, 0.0000)  2 Mg 1.91
H (0.5000, 0.0000, 0.0000)  2 Mg 1.91

## Sr3Li2Ga4 (PBE)

Data for Sr3Li2Ga4 after structural relaxation.

Output
- Symmetry: No. 12
- Density: 4.0 g/cm³
- Magnetic moment: 0.0 μB per cell
- Formation energy: -0.33 eV/atom

Unit cell a=6.2029 b=6.2029 c=9.2041 alpha=110.32 beta=110.32 gamma=45.03
With the nearest neighbours (Å) after each atom.
Sites, in units of the cell vectors:
Sr (0.0000, 0.0000, 0.0000)  4 Li 3.23, 8 Ga 3.35-3.44
Sr (0.3192, 0.3192, 0.3441)  8 Ga 3.31-3.60, 4 Li 3.39-3.48
Sr (0.6808, 0.6808, 0.6559)  8 Ga 3.31-3.60, 4 Li 3.39-3.48
Li (0.4190, 0.4190, 0.7439)  3 Ga 2.78-2.88
Li (0.5810, 0.5810, 0.2561)  3 Ga 2.78-2.88
Ga (0.0282, 0.0282, 0.3759)  1 Ga 2.60, 2 Li 2.78
Ga (0.2681, 0.2681, 0.9338)  2 Ga 2.77, 1 Li 2.88
Ga (0.7319, 0.7319, 0.0662)  2 Ga 2.77, 1 Li 2.88
Ga (0.9718, 0.9718, 0.6241)  1 Ga 2.60, 2 Li 2.78

## Ba2NaPb (PBE)

Data for Ba2NaPb after structural relaxation.

Output
- Symmetry: No. 123
- Density: 4.9 g/cm³
- Magnetic moment: 0.0 μB per cell
- Formation energy: -0.32 eV/atom

Unit cell a=6.2565 b=6.2565 c=4.3415 alpha=90.00 beta=90.00 gamma=90.00
With the nearest neighbours (Å) after each atom.
Sites, in units of the cell vectors:
Ba (0.0000, 0.5000, 0.0000)  4 Pb 3.81, 4 Na 3.81
Ba (0.5000, 0.0000, 0.0000)  4 Pb 3.81, 4 Na 3.81
Na (0.0000, 0.0000, 0.5000)  8 Ba 3.81
Pb (0.5000, 0.5000, 0.5000)  8 Ba 3.81